A plane-wave DFT calculation with SCAN was carried out for Ca2NbHgO at its PBEsol-relaxed geometry.

Cell lengths 4.672, 4.672, 4.326 Å; angles 90.00, 90.00, 90.00 degrees
Atoms (fractional coordinates):
Ca (0.000, 0.500, 0.000)
Ca (0.500, 0.000, 0.000)
Nb (0.000, 0.000, 0.500)
Hg (0.500, 0.500, 0.500)
O (0.000, 0.000, 0.000)

- Symmetry: No. 123
- Formation energy from raw total energies: -1090.2 meV per atom
- Magnetization: 0.375 μB/atom